Record 1
Here is a relaxed structure of Pa2Be4RuPt3 from Alexandria. Energies are from GGA-PBE.

For the uncorrected energy, the calculation gives -6.82 eV/atom. The density of states at the Fermi level is 1.150 states/eV/atom. The value obtained for the formation enthalpy at 0 K is -686 meV/atom. The calculation puts the total magnetic moment at 0.6 μB per formula unit.

Cell lengths 4.053, 4.053, 9.258 Å; angles 90.00, 90.00, 90.00 degrees
Space group P-4m2 (No. 115)
Unique sites:
Pa 0.000 0.500 0.242 [2 per cell]
Be 0.000 0.000 0.500 [1 per cell]
Be 0.000 0.500 0.878 [2 per cell]
Be 0.500 0.500 0.500 [1 per cell]
Ru 0.500 0.500 0.000 [1 per cell]
Pt 0.000 0.000 0.000 [1 per cell]
Pt 0.000 0.500 0.628 [2 per cell]

---

Record 2
Here is a relaxed structure of Pa2BeSi3Pt4 from Alexandria. Energies are from GGA-PBE.

For the uncorrected energy, the calculation gives -7.26 eV/atom. The density of states at the Fermi level is 0.773 states/eV/atom. The calculation puts the total magnetic moment at 0.0 μB per formula unit.

Cell lengths 4.169, 4.169, 9.790 Å; angles 90.00, 90.00, 90.00 degrees
Space group P-4m2 (No. 115)
Unique sites:
Pa 0.000 0.500 0.241 [2 per cell]
Be 0.500 0.500 0.000 [1 per cell]
Si 0.000 0.000 0.000 [1 per cell]
Si 0.000 0.500 0.636 [2 per cell]
Pt 0.000 0.000 0.500 [1 per cell]
Pt 0.000 0.500 0.877 [2 per cell]
Pt 0.500 0.500 0.500 [1 per cell]

---

Record 3
Here is a relaxed structure of Pa2Be3SiPt4 from Alexandria. Energies are from GGA-PBE.

For the uncorrected energy, the calculation gives -6.81 eV/atom. The density of states at the Fermi level is 0.766 states/eV/atom. The calculation puts the total magnetic moment at 0.9 μB per formula unit.

Cell lengths 4.031, 4.031, 9.784 Å; angles 90.00, 90.00, 90.00 degrees
Space group P-4m2 (No. 115)
Unique sites:
Pa 0.000 0.500 0.249 [2 per cell]
Be 0.000 0.500 0.874 [2 per cell]
Be 0.500 0.500 0.500 [1 per cell]
Si 0.000 0.000 0.500 [1 per cell]
Pt 0.000 0.000 0.000 [1 per cell]
Pt 0.000 0.500 0.636 [2 per cell]
Pt 0.500 0.500 0.000 [1 per cell]

---

Record 4
Here is a relaxed structure of Pa2Be3Si4Pt from Alexandria. Energies are from GGA-PBE.

For the uncorrected energy, the calculation gives -6.28 eV/atom. The density of states at the Fermi level is 0.705 states/eV/atom. The calculation puts the total magnetic moment at 0.0 μB per formula unit.

Cell lengths 4.002, 4.002, 9.451 Å; angles 90.00, 90.00, 90.00 degrees
Space group P-4m2 (No. 115)
Unique sites:
Pa 0.000 0.500 0.240 [2 per cell]
Be 0.000 0.500 0.881 [2 per cell]
Be 0.500 0.500 0.500 [1 per cell]
Si 0.000 0.000 0.000 [1 per cell]
Si 0.000 0.500 0.648 [2 per cell]
Si 0.500 0.500 0.000 [1 per cell]
Pt 0.000 0.000 0.500 [1 per cell]

---

Record 5
Here is a relaxed structure of Pa2Be4Si3Pt from Alexandria. Energies are from GGA-PBE.

For the uncorrected energy, the calculation gives -6.09 eV/atom. The density of states at the Fermi level is 0.822 states/eV/atom. The calculation puts the total magnetic moment at 0.0 μB per formula unit.

Cell lengths 3.927, 3.927, 9.417 Å; angles 90.00, 90.00, 90.00 degrees
Space group P-4m2 (No. 115)
Unique sites:
Pa 0.000 0.500 0.245 [2 per cell]
Be 0.000 0.000 0.000 [1 per cell]
Be 0.000 0.500 0.634 [2 per cell]
Be 0.500 0.500 0.000 [1 per cell]
Si 0.000 0.500 0.871 [2 per cell]
Si 0.500 0.500 0.500 [1 per cell]
Pt 0.000 0.000 0.500 [1 per cell]

---

Record 6
Here is a relaxed structure of PaBe2ZnPt5 from Alexandria. Energies are from GGA-PBE.

For the uncorrected energy, the calculation gives -5.98 eV/atom. The density of states at the Fermi level is 0.630 states/eV/atom. The value obtained for the formation enthalpy at 0 K is -600 meV/atom. The calculation puts the total magnetic moment at 0.0 μB per formula unit.

Cell lengths 4.453, 4.453, 7.058 Å; angles 90.00, 90.00, 90.00 degrees
Space group P4/mmm (No. 123)
Unique sites:
Pa 0.000 0.000 0.000 [1 per cell]
Be 0.500 0.500 0.337 [2 per cell]
Zn 0.000 0.000 0.500 [1 per cell]
Pt 0.000 0.500 0.281 [4 per cell]
Pt 0.500 0.500 0.000 [1 per cell]